CrCoOs2 | PBE-GGA | optimized geometry

The calculation puts the energy relative to the lowest polymorph listed for this composition at 0.4 kJ/mol of atoms. Its total magnetization is 0.77 μB/cell. The uncorrected energy is -9.73 eV per atom.

The space group is I-4m2 (No. 119) and the conventional cell measures 3.7137, 3.7137 and 7.4218 Å, with angles of 90.00, 90.00 and 90.00 degrees. Symmetry generates all atoms from Cr at (0.0000, 0.0000, 0.0000), Co at (0.0000, 0.5000, 0.2500), Os at (0.0000, 0.0000, 0.5000) and Os at (0.0000, 0.5000, 0.7500).

=====

CrCoOs2 | PBE-GGA | optimized geometry

The calculation puts the energy relative to the lowest polymorph listed for this composition at 2.7 kJ/mol of atoms. Its total magnetization is 0.00 μB/cell. The uncorrected energy is -9.71 eV per atom.

The space group is I4/mmm (No. 139) and the conventional cell measures 3.7683, 3.7683 and 7.1899 Å, with angles of 90.00, 90.00 and 90.00 degrees. Symmetry generates all atoms from Cr at (0.0000, 0.0000, 0.0000), Co at (0.0000, 0.0000, 0.5000) and Os at (0.0000, 0.5000, 0.2500).

=====

CrCoOs | PBE-GGA | optimized geometry

The calculation puts the energy relative to the lowest polymorph listed for this composition at 10.8 kJ/mol of atoms. Its total magnetization is 1.04 μB/cell. The uncorrected energy is -9.13 eV per atom.

The space group is P3m1 (No. 156) and the conventional cell measures 2.6311, 2.6311 and 6.2541 Å, with angles of 90.00, 90.00 and 120.00 degrees. Symmetry generates all atoms from Cr at (0.0000, 0.0000, 0.0000), Co at (0.6667, 0.3333, 0.6850) and Os at (0.3333, 0.6667, 0.3359).

=====

Cr2CoOs2 | PBE-GGA | optimized geometry

The calculation puts the energy relative to the lowest polymorph listed for this composition at 0.0 kJ/mol of atoms. Its total magnetization is 1.82 μB/cell. The uncorrected energy is -9.40 eV per atom.

The space group is P4/mbm (No. 127) and the conventional cell measures 7.0810, 7.0810 and 2.7334 Å, with angles of 90.00, 90.00 and 90.00 degrees. Symmetry generates all atoms from Cr at (0.1615, 0.3385, 0.0000), Co at (0.0000, 0.0000, 0.5000) and Os at (0.1372, 0.6372, 0.5000).

=====

- Look up the total magnetization of the third one.
  1.04 μB/cell